w.
The following is a PBE calculation of a geometry-optimized AlSi3 structure, from Alexandria via LeMat-Bulk.

Properties
**N(E_F)**: 1.45 states/eV/f.u.
**Spin magnetization**: 0.0 μB/f.u.
**Density**: 3.096 g/cm³

Unit cell a=2.7608 b=2.7608 c=9.0381 alpha=90.00 beta=90.00 gamma=120.00
Element x y z (fractional)
Al  0.0000  0.0000  0.0000
Si  0.6667  0.3333  0.7459
Si  0.0000  0.0000  0.5000
Si  0.6667  0.3333  0.2541

---

x.
The following is a PBE calculation of a geometry-optimized AlSi3 structure, from Alexandria via LeMat-Bulk.

Properties
**N(E_F)**: 1.51 states/eV/f.u.
**Spin magnetization**: 0.0 μB/f.u.
**Density**: 3.046 g/cm³

Unit cell a=5.1407 b=5.1407 c=5.1407 alpha=141.31 beta=133.77 gamma=61.82
Element x y z (fractional)
Si  0.7768  0.7768  0.0000
Si  0.2232  0.2232  0.0000
Si  0.0000  0.5000  0.5000
Al  0.5000  0.0000  0.5000

---

y.
The following is a PBE calculation of a geometry-optimized AlSi3 structure, from Alexandria via LeMat-Bulk.

Properties
**N(E_F)**: 1.75 states/eV/f.u.
**Spin magnetization**: 0.0 μB/f.u.
**Density**: 2.908 g/cm³

Unit cell a=3.6774 b=3.6774 c=4.7031 alpha=90.00 beta=90.00 gamma=92.84
Element x y z (fractional)
Si  0.5000  0.5000  0.5000
Si  0.7407  0.2593  0.0000
Si  0.2593  0.7407  0.0000
Al  0.0000  0.0000  0.5000

---

z.
The following is a PBE calculation of a geometry-optimized AlSi3 structure, from Alexandria via LeMat-Bulk.

Properties
**N(E_F)**: 1.86 states/eV/f.u.
**Spin magnetization**: 0.0 μB/f.u.
**Density**: 2.901 g/cm³

Unit cell a=5.2644 b=6.9729 c=6.9384 alpha=90.00 beta=90.00 gamma=90.00
Element x y z (fractional)
Si  0.3724  0.7343  0.5089
Si  0.3773  0.4715  0.7500
Si  0.8724  0.7657  0.0089
Si  0.8724  0.7657  0.4911
Si  0.6276  0.2657  0.0089
Si  0.3724  0.7343  0.9911
Si  0.6227  0.5285  0.2500
Si  0.1276  0.2343  0.9911
Si  0.1276  0.2343  0.5089
Si  0.6276  0.2657  0.4911
Si  0.1227  0.9715  0.7500
Si  0.8773  0.0285  0.2500
Al  0.6206  0.9895  0.7500
Al  0.3794  0.0105  0.2500
Al  0.1206  0.5105  0.2500
Al  0.8794  0.4895  0.7500

---

The structure with the greatest stability is y.

---

w.
The following is a PBE calculation of a geometry-optimized AlSi3 structure, from Alexandria via LeMat-Bulk.

Properties
**N(E_F)**: 1.90 states/eV/f.u.
**Spin magnetization**: 0.0 μB/f.u.
**Density**: 3.058 g/cm³

Unit cell a=4.2436 b=4.2436 c=3.4498 alpha=90.00 beta=90.00 gamma=103.53
Element x y z (fractional)
Si  0.5000  0.0000  0.5000
Si  0.5000  0.5000  0.0000
Si  0.0000  0.5000  0.5000
Al  0.0000  0.0000  0.0000

---

x.
The following is a PBE calculation of a geometry-optimized AlSi3 structure, from Alexandria via LeMat-Bulk.

Properties
**N(E_F)**: 1.25 states/eV/f.u.
**Spin magnetization**: 0.0 μB/f.u.
**Density**: 2.926 g/cm³

Unit cell a=5.1101 b=5.1101 c=4.8454 alpha=90.00 beta=90.00 gamma=93.73
Element x y z (fractional)
Si  0.4796  0.0942  0.2500
Si  0.0942  0.4796  0.7500
Si  0.0287  0.9713  0.7500
Si  0.9713  0.0287  0.2500
Si  0.5204  0.9058  0.7500
Si  0.9058  0.5204  0.2500
Al  0.5941  0.4059  0.7500
Al  0.4059  0.5941  0.2500

---

y.
The following is a PBE calculation of a geometry-optimized AlSi3 structure, from Alexandria via LeMat-Bulk.

Properties
**N(E_F)**: 3.28 states/eV/f.u.
**Spin magnetization**: 0.0 μB/f.u.
**Density**: 3.037 g/cm³

Unit cell a=5.2656 b=5.2656 c=5.2656 alpha=117.34 beta=117.34 gamma=117.34
Element x y z (fractional)
Si  0.5000  0.5000  0.0000
Si  0.0000  0.5000  0.5000
Si  0.5000  0.0000  0.5000
Al  0.0000  0.0000  0.0000

---

The structure with the greatest stability is x.

---

w.
The following is a PBE calculation of a geometry-optimized AlSi3 structure, from Alexandria via LeMat-Bulk.

Properties
**N(E_F)**: 1.30 states/eV/f.u.
**Spin magnetization**: 0.0 μB/f.u.
**Density**: 2.902 g/cm³

Unit cell a=5.7324 b=5.7324 c=5.7324 alpha=152.14 beta=133.35 gamma=55.21
Element x y z (fractional)
Si  0.5747  0.7412  0.8334
Si  0.0922  0.2588  0.8334
Si  0.3333  0.5000  0.8333
Al  0.8333  0.0000  0.8333

---

x.
The following is a PBE calculation of a geometry-optimized AlSi3 structure, from Alexandria via LeMat-Bulk.

Properties
**N(E_F)**: 2.45 states/eV/f.u.
**Spin magnetization**: 0.0 μB/f.u.
**Density**: 3.011 g/cm³

Unit cell a=4.9690 b=4.9690 c=4.9690 alpha=90.00 beta=90.00 gamma=90.00
Element x y z (fractional)
Si  0.5000  0.0000  0.2500
Si  0.5000  0.0000  0.7500
Si  0.0000  0.7500  0.5000
Si  0.7500  0.5000  0.0000
Si  0.0000  0.2500  0.5000
Si  0.2500  0.5000  0.0000
Al  0.0000  0.0000  0.0000
Al  0.5000  0.5000  0.5000

---

The structure with the greatest stability is w.

---

w.
The following is a PBE calculation of a geometry-optimized AlSi5 structure, from Alexandria via LeMat-Bulk.

Properties
**N(E_F)**: 2.49 states/eV/f.u.
**Spin magnetization**: 0.0 μB/f.u.
**Density**: 2.888 g/cm³

Unit cell a=5.1092 b=5.1092 c=4.2574 alpha=90.00 beta=90.00 gamma=120.00
Element x y z (fractional)
Si  0.3333  0.6667  0.0000
Si  0.5000  0.5000  0.5000
Si  0.5000  0.0000  0.5000
Si  0.6667  0.3333  0.0000
Si  0.0000  0.5000  0.5000
Al  0.0000  0.0000  0.0000

---

x.
The following is a PBE calculation of a geometry-optimized AlSi5 structure, from Alexandria via LeMat-Bulk.

Properties
**N(E_F)**: 2.54 states/eV/f.u.
**Spin magnetization**: 0.0 μB/f.u.
**Density**: 3.166 g/cm³

Unit cell a=4.6713 b=4.6713 c=4.6470 alpha=90.00 beta=90.00 gamma=120.00
Element x y z (fractional)
Si  0.6671  0.0000  0.0000
Si  0.3329  0.3329  0.0000
Si  0.3333  0.6667  0.5000
Si  0.0000  0.6671  0.0000
Si  0.6667  0.3333  0.5000
Al  0.0000  0.0000  0.5000

---

The structure with the greatest stability is x.

---

w.
The following is a PBE calculation of a geometry-optimized AlSi5 structure, from Alexandria via LeMat-Bulk.

Properties
**N(E_F)**: 3.38 states/eV/f.u.
**Spin magnetization**: 0.0 μB/f.u.
**Density**: 3.019 g/cm³

Unit cell a=5.0688 b=5.0688 c=5.0688 alpha=60.00 beta=60.00 gamma=60.00
Element x y z (fractional)
Al  0.0000  0.0000  0.0000
Si  0.6251  0.6251  0.6251
Si  0.1248  0.6251  0.6251
Si  0.6251  0.1248  0.6251
Si  0.6251  0.6251  0.1248
Si  0.2500  0.2500  0.2500

---

x.
The following is a PBE calculation of a geometry-optimized AlSi5 structure, from Alexandria via LeMat-Bulk.

Properties
**N(E_F)**: 2.00 states/eV/f.u.
**Spin magnetization**: 0.0 μB/f.u.
**Density**: 3.132 g/cm³

Unit cell a=2.7106 b=2.7106 c=12.0803 alpha=90.00 beta=90.00 gamma=90.00
Element x y z (fractional)
Si  0.5000  0.5000  0.3327
Si  0.5000  0.5000  0.6673
Si  0.0000  0.0000  0.8339
Si  0.0000  0.0000  0.5000
Si  0.0000  0.0000  0.1661
Al  0.5000  0.5000  0.0000

---

The structure with the greatest stability is x.

---

w.
The following is a PBE calculation of a geometry-optimized AlSi5 structure, from Alexandria via LeMat-Bulk.

Properties
**N(E_F)**: 1.88 states/eV/f.u.
**Spin magnetization**: 0.0 μB/f.u.
**Density**: 3.124 g/cm³

Unit cell a=6.2314 b=6.2314 c=3.5833 alpha=90.00 beta=90.00 gamma=140.25
Element x y z (fractional)
Si  0.3187  0.6813  0.5000
Si  0.8417  0.1583  0.0000
Si  0.1583  0.8417  0.0000
Si  0.0000  0.0000  0.5000
Si  0.6813  0.3187  0.5000
Al  0.5000  0.5000  0.0000

---

x.
The following is a PBE calculation of a geometry-optimized AlSi5 structure, from Alexandria via LeMat-Bulk.

Properties
**N(E_F)**: 2.44 states/eV/f.u.
**Spin magnetization**: 0.0 μB/f.u.
**Density**: 3.068 g/cm³

Unit cell a=7.4908 b=7.4908 c=4.6257 alpha=90.00 beta=90.00 gamma=159.57
Element x y z (fractional)
Si  0.1265  0.8735  0.5000
Si  0.4724  0.5276  0.5000
Si  0.6464  0.3536  0.0000
Si  0.2977  0.7023  0.0000
Si  0.8182  0.1818  0.5000
Al  0.9721  0.0279  0.0000

---

The structure with the greatest stability is x.

---

w.
The following is a PBE calculation of a geometry-optimized Al3Si5 structure, from Alexandria via LeMat-Bulk.

Properties
**N(E_F)**: 3.43 states/eV/f.u.
**Spin magnetization**: 0.0 μB/f.u.
**Density**: 2.851 g/cm³

Unit cell a=7.5995 b=7.5995 c=5.1551 alpha=90.00 beta=90.00 gamma=120.00
Element x y z (fractional)
Si  0.8084  0.0000  0.7500
Si  0.0000  0.1916  0.2500
Si  0.0000  0.8084  0.7500
Si  0.8084  0.8084  0.2500
Si  0.3333  0.6667  0.5000
Si  0.1916  0.1916  0.7500
Si  0.3333  0.6667  0.0000
Si  0.1916  0.0000  0.2500
Si  0.6667  0.3333  0.0000
Si  0.6667  0.3333  0.5000
Al  0.0000  0.5863  0.2500
Al  0.0000  0.4137  0.7500
Al  0.4137  0.4137  0.2500
Al  0.5863  0.5863  0.7500
Al  0.4137  0.0000  0.7500
Al  0.5863  0.0000  0.2500

---

x.
The following is a PBE calculation of a geometry-optimized Al3Si5 structure, from Alexandria via LeMat-Bulk.

Properties
**N(E_F)**: 3.48 states/eV/f.u.
**Spin magnetization**: 0.0 μB/f.u.
**Density**: 2.838 g/cm³

Unit cell a=8.4772 b=8.0303 c=7.1510 alpha=94.19 beta=97.48 gamma=145.48
Element x y z (fractional)
Al  0.1890  0.7189  0.8955
Al  0.7657  0.8848  0.5000
Al  0.7935  0.3234  0.1045
Al  0.7764  0.7560  0.9069
Al  0.3695  0.3490  0.0931
Al  0.3190  0.2816  0.5000
Si  0.4312  0.7297  0.1733
Si  0.5395  0.0217  0.5000
Si  0.8438  0.6404  0.3232
Si  0.0206  0.8172  0.6768
Si  0.7580  0.0564  0.8267
Si  0.0655  0.4832  0.5000
Si  0.3029  0.0039  0.2310
Si  0.9805  0.1876  0.2142
Si  0.5720  0.2730  0.7690
Si  0.2663  0.4734  0.7858

---

The structure with the greatest stability is x.

---

w.
The following is a PBE calculation of a geometry-optimized Al5Si3 structure, from Alexandria via LeMat-Bulk.

Properties
**N(E_F)**: 2.83 states/eV/f.u.
**Spin magnetization**: 0.0 μB/f.u.
**Density**: 2.844 g/cm³

Unit cell a=7.5439 b=7.5439 c=7.6947 alpha=97.21 beta=97.21 gamma=140.92
Element x y z (fractional)
Al  0.7396  0.5911  0.3048
Al  0.4227  0.7269  0.1469
Al  0.2596  0.4090  0.6952
Al  0.2265  0.9231  0.1470
Al  0.2631  0.7635  0.5255
Al  0.7727  0.0769  0.8530
Al  0.0906  0.2400  0.3048
Al  0.5765  0.2731  0.8530
Al  0.9086  0.7601  0.6952
Al  0.7360  0.2364  0.4745
Si  0.7472  0.7525  0.0000
Si  0.3374  0.1622  0.5000
Si  0.8590  0.3595  0.1763
Si  0.1401  0.6405  0.8237
Si  0.2520  0.2476  0.0000
Si  0.6618  0.8379  0.5000

---

x.
The following is a PBE calculation of a geometry-optimized Al5Si3 structure, from Alexandria via LeMat-Bulk.

Properties
**N(E_F)**: 3.21 states/eV/f.u.
**Spin magnetization**: 0.0 μB/f.u.
**Density**: 2.905 g/cm³

Unit cell a=5.6585 b=5.6585 c=3.9321 alpha=90.00 beta=90.00 gamma=95.79
Element x y z (fractional)
Si  0.7651  0.2349  0.5000
Si  0.5000  0.5000  0.0000
Si  0.2349  0.7651  0.5000
Al  0.0000  0.5000  0.0000
Al  0.0000  0.0000  0.0000
Al  0.5000  0.0000  0.0000
Al  0.2649  0.2649  0.5000
Al  0.7351  0.7351  0.5000

---

The structure with the greatest stability is w.

---

w.
The following is a PBE calculation of a geometry-optimized Al4Si structure, from Alexandria via LeMat-Bulk.

Properties
**N(E_F)**: 1.64 states/eV/f.u.
**Spin magnetization**: 0.0 μB/f.u.
**Density**: 2.821 g/cm³

Unit cell a=11.3373 b=11.3373 c=11.3373 alpha=14.55 beta=14.55 gamma=14.55
Element x y z (fractional)
Al  0.3969  0.3969  0.3969
Al  0.6031  0.6031  0.6031
Al  0.7988  0.7988  0.7988
Al  0.2012  0.2012  0.2012
Si  0.0000  0.0000  0.0000

---

x.
The following is a PBE calculation of a geometry-optimized Al4Si structure, from Alexandria via LeMat-Bulk.

Properties
**N(E_F)**: 2.40 states/eV/f.u.
**Spin magnetization**: 0.0 μB/f.u.
**Density**: 2.299 g/cm³

Unit cell a=5.0350 b=5.0350 c=5.0350 alpha=109.47 beta=109.47 gamma=109.47
Element x y z (fractional)
Si  0.0000  0.0000  0.0000
Al  0.5000  0.0000  0.0000
Al  0.5000  0.5000  0.5000
Al  0.0000  0.5000  0.0000
Al  0.0000  0.0000  0.5000

---

The structure with the greatest stability is w.

---

w.
The following is a PBE calculation of a geometry-optimized Al4Si structure, from Alexandria via LeMat-Bulk.

Properties
**N(E_F)**: 1.65 states/eV/f.u.
**Spin magnetization**: 0.0 μB/f.u.
**Density**: 2.826 g/cm³

Unit cell a=4.9126 b=4.9126 c=4.9126 alpha=99.30 beta=99.30 gamma=132.60
Element x y z (fractional)
Al  0.6001  0.7981  0.3982
Al  0.2019  0.6001  0.8020
Al  0.7981  0.3999  0.1980
Al  0.3999  0.2019  0.6018
Si  0.0000  0.0000  0.0000

---

x.
The following is a PBE calculation of a geometry-optimized Al4Si structure, from Alexandria via LeMat-Bulk.

Properties
**N(E_F)**: 3.46 states/eV/f.u.
**Spin magnetization**: 0.0 μB/f.u.
**Density**: 2.039 g/cm³

Unit cell a=4.8029 b=4.8029 c=4.8029 alpha=90.00 beta=90.00 gamma=90.00
Element x y z (fractional)
Al  0.5000  0.0000  0.5000
Al  0.0000  0.0000  0.0000
Al  0.5000  0.5000  0.0000
Al  0.0000  0.5000  0.5000
Si  0.5000  0.5000  0.5000

---

y.
The following is a PBE calculation of a geometry-optimized Al4Si structure, from Alexandria via LeMat-Bulk.

Properties
**N(E_F)**: 2.76 states/eV/f.u.
**Spin magnetization**: 0.0 μB/f.u.
**Density**: 2.464 g/cm³

Unit cell a=7.1297 b=7.1297 c=7.1297 alpha=149.76 beta=149.76 gamma=43.29
Element x y z (fractional)
Al  0.4038  0.4038  0.0000
Al  0.5962  0.5962  0.0000
Al  0.2500  0.7500  0.5000
Al  0.7500  0.2500  0.5000
Si  0.0000  0.0000  0.0000

---

The structure with the greatest stability is w.